# Y5HoBi6

An optimized crystal structure of Y5HoBi6 (PBE-GGA, the Alexandria database).

The structure in CIF format:
```
data_Y5HoBi6
_chemical_formula_sum 'Y5 Ho1 Bi6'
_cell_length_a 7.757
_cell_length_b 7.760
_cell_length_c 7.759
_cell_angle_alpha 59.99
_cell_angle_beta 80.40
_cell_angle_gamma 70.53
_space_group_name_H-M_alt 'P 1'
_space_group_IT_number 1
loop_
_space_group_symop_operation_xyz
'x,y,z'
loop_
_atom_site_label
_atom_site_fract_x
_atom_site_fract_y
_atom_site_fract_z
Y1 0.500 0.167 0.666
Y2 0.000 0.333 0.333
Y3 0.500 0.500 0.000
Y4 0.000 0.667 0.667
Y5 0.500 0.833 0.334
Ho1 0.000 0.000 0.000
Bi1 0.751 0.083 0.332
Bi2 0.249 0.585 0.332
Bi3 0.250 0.249 0.000
Bi4 0.750 0.751 0.000
Bi5 0.751 0.415 0.668
Bi6 0.249 0.917 0.668
```

Values from the calculation:
ρ   8.1 Mg/m³
Total energy   -70.83 eV for the cell shown
Size of the total moment   0.00 μB/cell